# TcSb2W PBE optimized geometry
data_TcSb2W
_chemical_formula_sum 'Tc1 Sb2 W1'
_cell_length_a 3.117
_cell_length_b 3.117
_cell_length_c 8.508
_cell_angle_alpha 90.00
_cell_angle_beta 90.00
_cell_angle_gamma 90.00
_space_group_name_H-M_alt 'P 4 m m'
_space_group_IT_number 99
loop_
_space_group_symop_operation_xyz
'x,y,z'
'-y,x,z'
'-x,-y,z'
'y,-x,z'
'-x,y,z'
'y,x,z'
'x,-y,z'
'-y,-x,z'
loop_
_atom_site_label
_atom_site_type_symbol
_atom_site_fract_x
_atom_site_fract_y
_atom_site_fract_z
Tc1 Tc 0.000 0.000 0.000
Sb1 Sb 0.000 0.000 0.415
Sb2 Sb 0.500 0.500 0.787
W1 W 0.500 0.500 0.181
# Uncorrected energy ... -7.74 eV per atom
# Formation energy without anion corrections ... 0.151 eV/atom
# Crystal system ... tetragonal
# Energy above the lowest structure with this stoichiometry ... 0 meV per atom

---

# TcSbW2 PBE optimized geometry
data_TcSbW2
_chemical_formula_sum 'Tc1 Sb1 W2'
_cell_length_a 3.211
_cell_length_b 4.409
_cell_length_c 4.717
_cell_angle_alpha 90.00
_cell_angle_beta 90.00
_cell_angle_gamma 90.00
_space_group_name_H-M_alt 'P m m m'
_space_group_IT_number 47
loop_
_space_group_symop_operation_xyz
'x,y,z'
'-x,-y,-z'
'-x,-y,z'
'x,y,-z'
'x,-y,-z'
'-x,y,z'
'-x,y,-z'
'x,-y,z'
loop_
_atom_site_label
_atom_site_type_symbol
_atom_site_fract_x
_atom_site_fract_y
_atom_site_fract_z
Tc1 Tc 0.000 0.000 0.000
Sb1 Sb 0.500 0.500 0.000
W1 W 0.000 0.500 0.500
W2 W 0.500 0.000 0.500
# Uncorrected energy ... -9.72 eV per atom
# Formation energy without anion corrections ... 0.377 eV/atom
# Crystal system ... orthorhombic

---

# Tc2SbW2 PBE optimized geometry
data_Tc2SbW2
_chemical_formula_sum 'Tc4 Sb2 W4'
_cell_length_a 7.648
_cell_length_b 7.648
_cell_length_c 2.970
_cell_angle_alpha 90.00
_cell_angle_beta 90.00
_cell_angle_gamma 90.00
_space_group_name_H-M_alt 'P 4/m b m'
_space_group_IT_number 127
_space_group_name_Hall '-P 4 2ab'
loop_
_atom_site_label
_atom_site_type_symbol
_atom_site_fract_x
_atom_site_fract_y
_atom_site_fract_z
Tc1 Tc 0.138 0.362 0.000
Sb1 Sb 0.000 0.000 0.000
W1 W 0.148 0.648 0.500
# Uncorrected energy ... -9.78 eV per atom
# Formation energy without anion corrections ... 0.367 eV/atom
# Crystal system ... tetragonal
# Energy above the lowest structure with this stoichiometry ... 0 meV per atom

---

# TcSb2W PBE optimized geometry
data_TcSb2W
_chemical_formula_sum 'Tc1 Sb2 W1'
_cell_length_a 3.290
_cell_length_b 4.337
_cell_length_c 5.381
_cell_angle_alpha 90.00
_cell_angle_beta 90.00
_cell_angle_gamma 90.00
_space_group_name_H-M_alt 'P m m m'
_space_group_IT_number 47
loop_
_space_group_symop_operation_xyz
'x,y,z'
'-x,-y,-z'
'-x,-y,z'
'x,y,-z'
'x,-y,-z'
'-x,y,z'
'-x,y,-z'
'x,-y,z'
loop_
_atom_site_label
_atom_site_type_symbol
_atom_site_fract_x
_atom_site_fract_y
_atom_site_fract_z
Tc1 Tc 0.000 0.000 0.000
Sb1 Sb 0.000 0.500 0.500
Sb2 Sb 0.500 0.500 0.000
W1 W 0.500 0.000 0.500
# Uncorrected energy ... -7.09 eV per atom
# Formation energy without anion corrections ... 0.797 eV/atom
# Crystal system ... orthorhombic
# Energy above the lowest structure with this stoichiometry ... 646 meV per atom

---

# TcSbW2 PBE optimized geometry
data_TcSbW2
_chemical_formula_sum 'Tc1 Sb1 W2'
_cell_length_a 3.228
_cell_length_b 3.228
_cell_length_c 6.476
_cell_angle_alpha 90.00
_cell_angle_beta 90.00
_cell_angle_gamma 90.00
_space_group_name_H-M_alt 'P 4 m m'
_space_group_IT_number 99
loop_
_space_group_symop_operation_xyz
'x,y,z'
'-y,x,z'
'-x,-y,z'
'y,-x,z'
'-x,y,z'
'y,x,z'
'x,-y,z'
'-y,-x,z'
loop_
_atom_site_label
_atom_site_type_symbol
_atom_site_fract_x
_atom_site_fract_y
_atom_site_fract_z
Tc1 Tc 0.000 0.000 0.000
Sb1 Sb 0.500 0.500 0.745
W1 W 0.000 0.000 0.476
W2 W 0.500 0.500 0.242
# Uncorrected energy ... -9.77 eV per atom
# Formation energy without anion corrections ... 0.327 eV/atom
# Crystal system ... tetragonal

---

# TcSbW2 PBE optimized geometry
data_TcSbW2
_chemical_formula_sum 'Tc1 Sb1 W2'
_cell_length_a 4.621
_cell_length_b 4.621
_cell_length_c 3.158
_cell_angle_alpha 90.00
_cell_angle_beta 90.00
_cell_angle_gamma 90.00
_space_group_name_H-M_alt 'P 4/m m m'
_space_group_IT_number 123
_space_group_name_Hall '-P 4 2'
loop_
_atom_site_label
_atom_site_type_symbol
_atom_site_fract_x
_atom_site_fract_y
_atom_site_fract_z
Tc1 Tc 0.000 0.000 0.000
Sb1 Sb 0.500 0.500 0.000
W1 W 0.000 0.500 0.500
# Uncorrected energy ... -9.47 eV per atom
# Formation energy without anion corrections ... 0.626 eV/atom
# Crystal system ... tetragonal